SrCrSi2 | the Alexandria database | PBE | optimized geometry; magnetization = 4.0 μB per formula unit; uncorrected energy = -4.98 eV per atom; formation energy (no corrections) = 2.23 eV/f.u.
1.0
-1.688 3.181 -3.304
-3.076 -1.501 -3.488
-4.685 1.384 0.113
Sr Cr Si
1 1 2
Direct
0.750 0.750 0.750 Sr
0.500 0.500 0.500 Cr
0.000 0.000 0.000 Si
0.250 0.250 0.250 Si

SrCrSi2 | the Alexandria database | PBE | optimized geometry; magnetization = 3.4 μB per formula unit; uncorrected energy = -5.55 eV per atom; formation energy (no corrections) = -0.03 eV/f.u.
1.0
-5.972 -3.045 0.061
-2.317 -5.485 3.081
3.258 5.847 0.384
Si Cr Sr
2 1 1
Direct
0.906 0.906 0.000 Si
0.775 0.275 0.500 Si
0.280 0.780 0.500 Cr
0.539 0.539 0.000 Sr

SrCrSi2 | the Alexandria database | PBE | optimized geometry; magnetization = 4.1 μB per formula unit; uncorrected energy = -5.04 eV per atom; formation energy (no corrections) = 1.98 eV/f.u.
1.0
-5.148 1.373 -0.954
-2.584 -3.848 -2.796
3.026 -0.096 4.487
Si Cr Sr
2 1 1
Direct
0.250 0.750 0.500 Si
0.000 0.000 0.000 Si
0.750 0.250 0.500 Cr
0.500 0.500 0.000 Sr

SrY2CrSi | the Alexandria database | PBE | optimized geometry; magnetization = 0.2 μB per formula unit; uncorrected energy = -3.86 eV per atom; formation energy (no corrections) = 10.36 eV/f.u.
1.0
5.514 0.000 0.000
0.000 5.221 0.000
0.000 0.000 5.514
Y Si Sr Cr
2 1 1 1
Direct
0.000 0.000 0.500 Y
0.500 0.000 0.000 Y
0.000 0.500 0.000 Si
0.000 0.000 0.000 Sr
0.500 0.500 0.500 Cr

TaCrSi | the Alexandria database | PBE | optimized geometry; magnetization = 2.2 μB per formula unit; uncorrected energy = -8.29 eV per atom; formation energy (no corrections) = 2.04 eV/f.u.
1.0
4.240 0.000 0.000
2.120 3.672 0.000
2.120 1.224 3.462
Si Ta Cr
1 1 1
Direct
0.500 0.500 0.500 Si
0.750 0.750 0.750 Ta
0.000 0.000 0.000 Cr

TaCr4Si | the Alexandria database | PBE | optimized geometry; magnetization = 0.0 μB per formula unit; uncorrected energy = -9.31 eV per atom; formation energy (no corrections) = -0.07 eV/f.u.; polymorph energy (0 for the lowest one) = 38 meV/atom
1.0
2.434 -4.217 0.000
2.434 4.217 0.000
0.000 0.000 7.637
Cr Ta Si
8 2 2
Direct
0.000 0.000 0.000 Cr
0.172 0.344 0.738 Cr
0.828 0.172 0.262 Cr
0.344 0.172 0.262 Cr
0.172 0.828 0.738 Cr
0.000 0.000 0.500 Cr
0.656 0.828 0.738 Cr
0.828 0.656 0.262 Cr
0.333 0.667 0.065 Ta
0.667 0.333 0.935 Ta
0.667 0.333 0.570 Si
0.333 0.667 0.430 Si